First-principles (PBE) data for a relaxed structure of FeCu3B, as listed in the Alexandria database.

raw total energy	-18.2	eV for the cell shown
energy of formation	1.852	eV per atom
N(E_F)	3.428	states/eV/f.u.

abc: 4.431 4.431 4.431
angles: 90.00 90.00 90.00
Sites, in units of the cell vectors:
Fe: 0.000 0.000 0.000
Cu: 0.000 0.000 0.500
Cu: 0.000 0.500 0.000
Cu: 0.500 0.000 0.000
B: 0.500 0.500 0.500